First-principles (GGA-PBE) data for a relaxed K3ScOs2O9 crystal, as listed in Alexandria. Values from VASP.

Summary:
Density of states at the Fermi level in states/eV per atom: 0.260
Raw formation energy in eV/atom: -1.7167
SG: P-3m1 (164)
Raw total energy in Ry/atom: -0.5020

Structure (Quantum ESPRESSO input):
```
&SYSTEM
  ibrav = 0, nat = 15, ntyp = 4
/
ATOMIC_SPECIES
K 39.10 K.upf
Sc 44.96 Sc.upf
Os 190.23 Os.upf
O 16.00 O.upf
CELL_PARAMETERS angstrom
5.635 0.000 0.000
-2.818 4.880 0.000
0.000 0.000 6.933
ATOMIC_POSITIONS crystal
K 0.000 0.000 0.000
K 0.333 0.667 0.661
K 0.667 0.333 0.339
Sc 0.000 0.000 0.500
Os 0.333 0.667 0.161
Os 0.667 0.333 0.839
O 0.000 0.500 0.000
O 0.174 0.349 0.319
O 0.174 0.826 0.319
O 0.349 0.174 0.681
O 0.500 0.000 0.000
O 0.500 0.500 0.000
O 0.651 0.826 0.319
O 0.826 0.174 0.681
O 0.826 0.651 0.681
```